# PBE Ta3Ti5H12, optimized geometry
data_Ta3Ti5H12
_chemical_formula_sum 'Ta24 Ti40 H96'
_cell_length_a 11.043
_cell_length_b 11.043
_cell_length_c 11.043
_cell_angle_alpha 90.00
_cell_angle_beta 90.00
_cell_angle_gamma 90.00
_symmetry_space_group_name_H-M 'I a -3 d'
_symmetry_Int_Tables_number 230
_symmetry_space_group_name_Hall '-I 4bd 2c 3'
loop_
_atom_site_label
_atom_site_fract_x
_atom_site_fract_y
_atom_site_fract_z
_atom_site_occupancy
Ta1 0.000 0.250 0.125 1
Ti1 0.000 0.000 0.000 1
Ti2 0.000 0.250 0.375 1
H1 0.007 0.071 0.652 1
# size of the total moment: 0.00 Bohr magnetons per cell
# E: -6.07 eV/atom